## Na2BiAu2 (PBE-GGA)

Data for a relaxed structure of Na2BiAu2.

For the calculated formation energy, the calculation gives -0.1243 eV per atom. Its electronic total energy is -2.7391 eV per atom. The crystal system is tetragonal.

The space group is P4/mbm (No. 127) and the conventional cell measures 8.7780, 8.7780 and 3.0209 Å, with angles of 90.00, 90.00 and 90.00 degrees. Symmetry generates all atoms from Na at (0.1317, 0.3683, 0.0000), Bi at (0.0000, 0.0000, 0.0000) and Au at (0.1631, 0.6631, 0.5000).

## Na2Bi2Au (PBE-GGA)

Data for a relaxed structure of Na2Bi2Au.

For the calculated formation energy, the calculation gives 0.1625 eV per atom. Its electronic total energy is -2.5730 eV per atom. The crystal system is tetragonal.

The space group is I4/mmm (No. 139) and the conventional cell measures 4.0045, 4.0045 and 17.3927 Å, with angles of 90.00, 90.00 and 90.00 degrees. Symmetry generates all atoms from Na at (0.0000, 0.5000, 0.2500), Bi at (0.0000, 0.0000, 0.0901) and Au at (0.0000, 0.0000, 0.5000).

## NaBi12Au4 (PBE-GGA)

Data for a relaxed structure of NaBi12Au4.

For the calculated formation energy, the calculation gives -0.0515 eV per atom. Its electronic total energy is -3.6398 eV per atom. The crystal system is cubic.

The space group is Im-3 (No. 204) and the conventional cell measures 10.2617, 10.2617 and 10.2617 Å, with angles of 90.00, 90.00 and 90.00 degrees. Symmetry generates all atoms from Na at (0.0000, 0.0000, 0.0000), Bi at (0.0000, 0.1559, 0.3437) and Au at (0.2500, 0.2500, 0.2500).

## Na2Bi2Au (PBE-GGA)

Data for a relaxed structure of Na2Bi2Au.

For the calculated formation energy, the calculation gives -0.2590 eV per atom. Its electronic total energy is -2.9945 eV per atom. The crystal system is tetragonal.

The space group is P4/mbm (No. 127) and the conventional cell measures 7.5971, 7.5971 and 5.1221 Å, with angles of 90.00, 90.00 and 90.00 degrees. Symmetry generates all atoms from Na at (0.1642, 0.3358, 0.0000), Bi at (0.1478, 0.6478, 0.5000) and Au at (0.0000, 0.0000, 0.5000).

## NaBi4Au2 (PBE-GGA)

Data for a relaxed structure of NaBi4Au2.

For the calculated formation energy, the calculation gives -0.0365 eV per atom. Its electronic total energy is -3.3790 eV per atom. The crystal system is triclinic.

The space group is P-1 (No. 2) and the conventional cell measures 7.4743, 7.4767 and 9.1378 Å, with angles of 110.86, 111.06 and 97.14 degrees. Symmetry generates all atoms from Na at (0.1279, 0.3786, 0.2492), Bi at (0.1581, 0.1649, 0.8774), Bi at (0.2804, 0.7878, 0.1224), Bi at (0.2885, 0.7789, 0.6218), Bi at (0.3326, 0.3422, 0.6210), Au at (0.0000, 0.0000, 0.5000), Au at (0.5000, 0.0000, 0.0000), Au at (0.5000, 0.0000, 0.5000) and Au at (0.5000, 0.5000, 0.0000).

## Na2BiAu2 (PBE-GGA)

Data for a relaxed structure of Na2BiAu2.

For the calculated formation energy, the calculation gives -0.0485 eV per atom. Its electronic total energy is -2.6633 eV per atom. The crystal system is tetragonal.

The space group is I4/mmm (No. 139) and the conventional cell measures 4.2054, 4.2054 and 13.7725 Å, with angles of 90.00, 90.00 and 90.00 degrees. Symmetry generates all atoms from Na at (0.0000, 0.5000, 0.2500), Bi at (0.0000, 0.0000, 0.0000) and Au at (0.0000, 0.0000, 0.4004).

## NaBiAu2 (PBE-GGA)

Data for a relaxed structure of NaBiAu2.

For the calculated formation energy, the calculation gives -0.1352 eV per atom. Its electronic total energy is -3.0739 eV per atom. The crystal system is tetragonal.

The space group is P4/mmm (No. 123) and the conventional cell measures 3.7695, 3.7695 and 6.2630 Å, with angles of 90.00, 90.00 and 90.00 degrees. Symmetry generates all atoms from Na at (0.0000, 0.0000, 0.0000), Bi at (0.0000, 0.0000, 0.5000) and Au at (0.5000, 0.5000, 0.2351).

## NaBiAu2 (PBE-GGA)

Data for a relaxed structure of NaBiAu2.

For the calculated formation energy, the calculation gives -0.1835 eV per atom. Its electronic total energy is -3.1222 eV per atom. The crystal system is tetragonal.

The space group is P4/mmm (No. 123) and the conventional cell measures 4.8131, 4.8131 and 3.8688 Å, with angles of 90.00, 90.00 and 90.00 degrees. Symmetry generates all atoms from Na at (0.0000, 0.0000, 0.0000), Bi at (0.5000, 0.5000, 0.0000) and Au at (0.0000, 0.5000, 0.5000).